This record from Alexandria via LeMat-Bulk describes an optimized crystal structure of KEuMgWO6. The functional is PBE with a Hubbard U.

Unit cell a=5.6603 b=5.6603 c=5.6603 alpha=60.00 beta=60.00 gamma=60.00
Last column: nearest neighbours and their distance in Å.
Element x y z (fractional)
1 K 0.7500 0.7500 0.7500  12 O 2.83
2 Eu 0.2500 0.2500 0.2500  12 O 2.83
3 Mg 0.0000 0.0000 0.0000  6 O 2.06
4 W 0.5000 0.5000 0.5000  6 O 1.94
5 O 0.2572 0.7428 0.2572  1 W 1.94, 1 Mg 2.06
6 O 0.7428 0.2572 0.7428  1 W 1.94, 1 Mg 2.06
7 O 0.2572 0.7428 0.7428  1 W 1.94, 1 Mg 2.06
8 O 0.7428 0.2572 0.2572  1 W 1.94, 1 Mg 2.06
9 O 0.2572 0.2572 0.7428  1 W 1.94, 1 Mg 2.06
10 O 0.7428 0.7428 0.2572  1 W 1.94, 1 Mg 2.06

Calculated values
SG: F-43m
Magnetization: 6.0 μB per cell
E: -7.32 eV per atom